No. 1
## Li4MnO2F3 (PBEsol)

Data for a geometry-optimized Li4MnO2F3 structure.

Cell and atoms, written as POSCAR:
```
Li4MnO2F3
1.0
4.611 -1.931 0.000
4.611 1.931 0.000
-4.345 0.000 4.804
Li Mn O F
4 1 2 3
direct
0.000 0.000 0.000 Li
0.193 0.193 0.558 Li
0.586 0.586 0.769 Li
0.808 0.808 0.403 Li
0.380 0.380 0.189 Mn
0.296 0.296 0.369 O
0.889 0.889 0.175 O
0.082 0.082 0.776 F
0.468 0.468 0.970 F
0.695 0.695 0.582 F
```

density: 3.3 g cm⁻³
uncorrected formation energy: -233 kJ/mol of atoms
offset from the most stable computed form: 11 kJ/mol of formula units
SG: No. 8

---

No. 2
## Li5MnO3F2 (PBEsol)

Data for a geometry-optimized Li5MnO3F2 structure.

Cell and atoms, written as POSCAR:
```
Li5MnO3F2
1.0
4.648 -1.941 0.000
4.648 1.941 0.000
-1.799 0.000 5.589
Li Mn O F
5 1 3 2
direct
0.000 0.000 0.000 Li
0.300 0.300 0.190 Li
0.326 0.326 0.624 Li
0.674 0.674 0.376 Li
0.700 0.700 0.810 Li
0.000 0.000 0.500 Mn
0.139 0.139 0.323 O
0.500 0.500 0.500 O
0.861 0.861 0.677 O
0.180 0.180 0.856 F
0.820 0.820 0.144 F
```

density: 2.9 g cm⁻³
uncorrected formation energy: -211 kJ/mol of atoms
SG: No. 12

---

No. 3
## Li4Mn5O9F (PBEsol)

Data for a geometry-optimized Li4Mn5O9F structure.

Cell and atoms, written as POSCAR:
```
Li4Mn5O9F
1.0
5.061 0.000 0.000
-1.175 5.189 0.000
-1.766 -2.563 7.078
Li Mn O F
4 5 9 1
direct
0.000 0.000 0.000 Li
0.181 0.397 0.388 Li
0.395 0.774 0.772 Li
0.780 0.550 0.560 Li
0.077 0.181 0.679 Mn
0.293 0.571 0.087 Mn
0.487 0.988 0.473 Mn
0.674 0.379 0.886 Mn
0.886 0.769 0.283 Mn
0.148 0.800 0.519 O
0.228 0.922 0.228 O
0.285 0.221 0.923 O
0.422 0.387 0.653 O
0.563 0.617 0.348 O
0.641 0.725 0.036 O
0.721 0.048 0.732 O
0.840 0.183 0.453 O
0.948 0.386 0.107 O
0.034 0.646 0.820 F
```

density: 4.2 g cm⁻³
uncorrected formation energy: -174 kJ/mol of atoms
SG: No. 1

---

No. 4
## LiMn3O2F6 (PBEsol)

Data for a geometry-optimized LiMn3O2F6 structure.

Cell and atoms, written as POSCAR:
```
LiMn3O2F6
1.0
5.436 0.000 0.000
0.000 4.622 0.000
-1.145 0.000 10.104
Li Mn O F
2 6 4 12
direct
0.000 0.000 0.000 Li
0.000 0.500 0.500 Li
0.268 0.030 0.753 Mn
0.268 0.470 0.253 Mn
0.500 0.000 0.500 Mn
0.500 0.500 0.000 Mn
0.732 0.530 0.747 Mn
0.732 0.970 0.247 Mn
0.484 0.170 0.326 O
0.484 0.330 0.826 O
0.516 0.670 0.174 O
0.516 0.830 0.674 O
0.016 0.725 0.684 F
0.016 0.775 0.184 F
0.217 0.204 0.573 F
0.217 0.296 0.073 F
0.286 0.679 0.423 F
0.286 0.821 0.923 F
0.714 0.179 0.077 F
0.714 0.321 0.577 F
0.783 0.704 0.927 F
0.783 0.796 0.427 F
0.984 0.225 0.816 F
0.984 0.275 0.316 F
```

density: 4.2 g cm⁻³
uncorrected formation energy: -219 kJ/mol of atoms
offset from the most stable computed form: 0 kJ/mol of formula units
SG: No. 14

---

No. 5
## LiMnOF2 (PBEsol)

Data for a geometry-optimized LiMnOF2 structure.

Cell and atoms, written as POSCAR:
```
LiMnOF2
1.0
4.990 0.000 0.000
2.392 4.536 0.000
2.224 1.263 9.243
Li Mn O F
4 4 4 8
direct
0.064 0.088 0.293 Li
0.390 0.484 0.210 Li
0.610 0.516 0.790 Li
0.936 0.912 0.707 Li
0.158 0.160 0.987 Mn
0.300 0.337 0.517 Mn
0.700 0.663 0.483 Mn
0.842 0.840 0.013 Mn
0.054 0.405 0.384 O
0.091 0.865 0.118 O
0.909 0.135 0.882 O
0.946 0.595 0.616 O
0.207 0.501 0.875 F
0.345 0.895 0.616 F
0.402 0.159 0.119 F
0.408 0.707 0.369 F
0.592 0.293 0.631 F
0.598 0.841 0.881 F
0.655 0.105 0.384 F
0.793 0.499 0.125 F
```

density: 3.7 g cm⁻³
uncorrected formation energy: -220 kJ/mol of atoms
offset from the most stable computed form: 2 kJ/mol of formula units
SG: No. 2

---

No. 6
## LiMn7O7F (PBEsol)

Data for a geometry-optimized LiMn7O7F structure.

Cell and atoms, written as POSCAR:
```
LiMn7O7F
1.0
3.613 0.000 0.000
-1.806 3.129 0.000
0.000 0.000 17.206
Li Mn O F
1 7 7 1
direct
0.000 0.000 0.000 Li
0.000 0.000 0.251 Mn
0.000 0.000 0.500 Mn
0.000 0.000 0.749 Mn
0.333 0.667 0.127 Mn
0.333 0.667 0.377 Mn
0.333 0.667 0.623 Mn
0.333 0.667 0.873 Mn
0.000 0.000 0.123 O
0.000 0.000 0.378 O
0.000 0.000 0.622 O
0.000 0.000 0.877 O
0.333 0.667 0.254 O
0.333 0.667 0.500 O
0.333 0.667 0.746 O
0.333 0.667 0.000 F
```

density: 4.5 g cm⁻³
uncorrected formation energy: -124 kJ/mol of atoms
SG: No. 187

---

No. 7
## LiMn3O2F6 (PBEsol)

Data for a geometry-optimized LiMn3O2F6 structure.

Cell and atoms, written as POSCAR:
```
LiMn3O2F6
1.0
5.137 0.000 0.000
-0.023 6.828 0.000
-0.092 -1.382 7.308
Li Mn O F
2 6 4 12
direct
0.213 0.336 0.165 Li
0.787 0.664 0.835 Li
0.240 0.327 0.672 Mn
0.267 0.812 0.684 Mn
0.285 0.835 0.181 Mn
0.715 0.165 0.819 Mn
0.733 0.188 0.316 Mn
0.760 0.673 0.328 Mn
0.113 0.575 0.694 O
0.405 0.077 0.698 O
0.595 0.923 0.302 O
0.887 0.425 0.306 O
0.043 0.298 0.901 F
0.095 0.073 0.196 F
0.109 0.814 0.444 F
0.401 0.313 0.440 F
0.415 0.575 0.180 F
0.432 0.810 0.917 F
0.568 0.190 0.083 F
0.585 0.425 0.820 F
0.599 0.687 0.560 F
0.891 0.186 0.556 F
0.905 0.927 0.804 F
0.957 0.702 0.099 F
```

density: 4.1 g cm⁻³
uncorrected formation energy: -215 kJ/mol of atoms
offset from the most stable computed form: 51 kJ/mol of formula units
SG: No. 2

---

No. 8
## Li2MnOF2 (PBEsol)

Data for a geometry-optimized Li2MnOF2 structure.

Cell and atoms, written as POSCAR:
```
Li2MnOF2
1.0
5.374 -2.939 0.000
5.374 2.939 0.000
0.000 0.000 4.041
Li Mn O F
4 2 2 4
direct
0.001 0.662 0.750 Li
0.338 0.999 0.750 Li
0.662 0.001 0.250 Li
0.999 0.338 0.250 Li
0.323 0.677 0.250 Mn
0.677 0.323 0.750 Mn
0.315 0.685 0.750 O
0.685 0.315 0.250 O
0.024 0.338 0.750 F
0.338 0.024 0.250 F
0.662 0.976 0.750 F
0.976 0.662 0.250 F
```

density: 3.2 g cm⁻³
uncorrected formation energy: -218 kJ/mol of atoms
SG: No. 63